Y2PdPbW: optimized geometry, PBE.

Calculated values
Mass density, g/cm3: 7.984
Final energy, eV/atom: -6.5330
DOS at the Fermi energy, states/eV/f.u.: 4.8
ΔE_f, meV per atom: 423
Total magnetic moment, μB per cell: 1.302

Cell and atoms, written as POSCAR:
```
Y2PdPbW
1.0
5.375 0.000 0.000
0.000 4.861 0.000
0.000 0.000 5.375
Pb Y Pd W
1 2 1 1
direct
0.500 0.500 0.500
0.000 0.000 0.500
0.500 0.000 0.000
0.000 0.000 0.000
0.000 0.500 0.000
```